First-principles (GGA-PBE) data for LaReS2N after structural relaxation, as listed in the Alexandria database.

abc: 5.562 5.562 4.229
angles: 90.00 90.00 90.00
Fractional positions:
La 0.000 0.000 0.000
Re 0.500 0.500 0.500
S 0.000 0.500 0.000
S 0.500 0.000 0.000
N 0.000 0.000 0.500

Computed properties:
The symmetry is P4/mmm (123). The calculated density comes out at 5.117 g/cm³. Its energy relative to the elements, uncorrected is 1.241 eV per atom. The energy above the lowest structure with this stoichiometry is 2.0423 eV/atom.

---

First-principles (GGA-PBE) data for LaReSN2 after structural relaxation, as listed in the Alexandria database.

abc: 3.978 3.978 4.903
angles: 90.00 90.00 90.00
Fractional positions:
La 0.000 0.000 0.000
Re 0.500 0.500 0.500
S 0.500 0.500 0.000
N 0.000 0.500 0.500
N 0.500 0.000 0.500

Computed properties:
The symmetry is P4/mmm (123). The calculated density comes out at 8.244 g/cm³. Its energy relative to the elements, uncorrected is -0.630 eV per atom. The energy above the lowest structure with this stoichiometry is 0.0000 eV/atom.

---

First-principles (GGA-PBE) data for LaReS2N after structural relaxation, as listed in the Alexandria database.

abc: 4.866 4.866 3.823
angles: 90.00 90.00 90.00
Fractional positions:
La 0.000 0.000 0.000
Re 0.500 0.500 0.500
S 0.000 0.500 0.500
S 0.500 0.000 0.500
N 0.500 0.500 0.000

Computed properties:
The symmetry is P4/mmm (123). The calculated density comes out at 7.397 g/cm³. Its energy relative to the elements, uncorrected is -0.801 eV per atom. The energy above the lowest structure with this stoichiometry is 0.0000 eV/atom.

---

First-principles (GGA-PBE) data for La2ScReN after structural relaxation, as listed in the Alexandria database.

abc: 5.093 5.093 4.223
angles: 90.00 90.00 90.00
Fractional positions:
La 0.000 0.500 0.000
La 0.500 0.000 0.000
Sc 0.000 0.000 0.500
Re 0.500 0.500 0.500
N 0.000 0.000 0.000

Computed properties:
The symmetry is P4/mmm (123). The calculated density comes out at 7.928 g/cm³. Its energy relative to the elements, uncorrected is -0.311 eV per atom.